Computed, not measured: a geometry-optimized HfInCoAg structure at the GGA-PBE level of DFT. Values from VASP.

Structure (Quantum ESPRESSO input):
```
&SYSTEM
  ibrav = 0, nat = 4, ntyp = 4
/
ATOMIC_SPECIES
Hf 178.49 Hf.upf
In 114.82 In.upf
Co 58.93 Co.upf
Ag 107.87 Ag.upf
ATOMIC_POSITIONS crystal
Hf 0.000 0.000 0.000
In 0.250 0.250 0.250
Co 0.500 0.500 0.500
Ag 0.750 0.750 0.750
CELL_PARAMETERS angstrom
0.000 3.269 3.269
3.269 0.000 3.269
3.269 3.269 0.000
```

## Properties
As for the crystal system: cubic. The value obtained for the calculated total energy is -5.483 eV/atom. The energy above the lowest structure with this stoichiometry is 0.228 eV/atom.